(1)
ScSiMo GGA-PBE relaxed; SG = No. 187; E_form (uncorrected) = -18.8 kJ/mol of atoms; calculated density = 5297 kg/m³; calculated total energy = -23.2 eV per cell
1.0
4.245 0.000 0.000
-2.123 3.677 0.000
0.000 0.000 3.394
Mo Sc Si
1 1 1
direct
0.000 0.000 0.833
0.333 0.667 0.333
0.667 0.333 0.833



(2)
Sm2SeOF2 GGA-PBE relaxed; SG = No. 176; E_form (uncorrected) = -326.2 kJ/mol of atoms; calculated density = 6878 kg/m³; calculated total energy = -251.4 eV per cell
1.0
13.737 0.000 0.000
-6.869 11.897 0.000
0.000 0.000 3.844
Sm Se O F
12 6 6 12
direct
0.397 0.882 0.750
0.485 0.603 0.750
0.118 0.515 0.750
0.603 0.118 0.250
0.515 0.397 0.250
0.882 0.485 0.250
0.055 0.765 0.750
0.710 0.945 0.750
0.235 0.290 0.750
0.945 0.235 0.250
0.290 0.055 0.250
0.765 0.710 0.250
0.718 0.513 0.750
0.794 0.282 0.750
0.487 0.206 0.750
0.282 0.487 0.250
0.206 0.718 0.250
0.513 0.794 0.250
0.985 0.573 0.750
0.587 0.015 0.750
0.427 0.413 0.750
0.015 0.427 0.250
0.413 0.985 0.250
0.573 0.587 0.250
0.892 0.790 0.750
0.898 0.108 0.750
0.210 0.102 0.750
0.108 0.210 0.250
0.102 0.892 0.250
0.790 0.898 0.250
0.249 0.933 0.750
0.684 0.751 0.750
0.067 0.316 0.750
0.751 0.067 0.250
0.316 0.249 0.250
0.933 0.684 0.250



(3)
BaAgSb2Se4 GGA-PBE relaxed; SG = No. 63; E_form (uncorrected) = -57.2 kJ/mol of atoms; calculated density = 5890 kg/m³; calculated total energy = -63.4 eV per cell
1.0
4.587 0.000 0.000
-2.293 6.760 0.000
0.000 0.000 14.629
Ba Ag Sb Se
2 2 4 8
direct
0.131 0.262 0.750
0.869 0.738 0.250
0.865 0.731 0.750
0.135 0.269 0.250
0.376 0.751 0.550
0.624 0.249 0.050
0.624 0.249 0.450
0.376 0.751 0.950
0.267 0.533 0.107
0.733 0.467 0.607
0.733 0.467 0.893
0.267 0.533 0.393
0.000 0.000 0.500
0.000 0.000 0.000
0.455 0.911 0.750
0.545 0.089 0.250



(4)
BaNd2InO5 GGA-PBE relaxed; SG = No. 71; E_form (uncorrected) = -242.6 kJ/mol of atoms; calculated density = 6938 kg/m³; calculated total energy = -61.6 eV per cell
1.0
4.094 0.000 0.000
0.000 6.083 0.000
-2.047 -3.042 5.965
Ba Nd In O
1 2 1 5
direct
0.000 0.500 0.000
0.216 0.216 0.431
0.784 0.784 0.569
0.500 0.000 0.000
0.644 0.907 0.287
0.356 0.093 0.713
0.356 0.620 0.713
0.644 0.380 0.287
0.000 0.000 0.000



Q: What is the calculated total energy in the third record?
A: -63.4 eV per cell



Q: Among the records above, which one has the highest calculated density?
A: BaNd2InO5



Q: Look up the calculated total energy of the third one.
A: -63.4 eV per cell